Below is SmTm2AgC after structural relaxation, with properties calculated at the PBE level.

Unit cell a=4.7549 b=4.7549 c=5.1784 alpha=90.00 beta=90.00 gamma=90.00
Space group P4mm (No. 99)
One atom of each set of equivalent atoms:
Sm 0.0000 0.0000 0.0000 (multiplicity 1)
Tm 0.0000 0.5000 0.5031 (multiplicity 2)
Ag 0.5000 0.5000 0.0178 (multiplicity 1)
C 0.0000 0.0000 0.5214 (multiplicity 1)

Output
Total DFT energy (no corrections) in eV per atom: -5.36
Magnetic moment in Bohr magnetons per cell: 0.00